1.
A relaxed Cu7S2O21 crystal. Source: Alexandria via LeMat-Bulk, functional GGA-PBE.

Summary:
Raw formation energy: -7.9 eV per formula unit
E: -4.96 eV per atom
N(E_F): 14.7 states/eV per cell

```
data_Cu7S2O21
_space_group_name_H-M_alt 'P -3'
_space_group_IT_number 147
_space_group_name_Hall '-P 3'
_cell_length_a 7.9488
_cell_length_b 7.9488
_cell_length_c 7.0848
_cell_angle_alpha 90.00
_cell_angle_beta 90.00
_cell_angle_gamma 120.00
loop_
_atom_site_label
_atom_site_fract_x
_atom_site_fract_y
_atom_site_fract_z
_atom_site_occupancy
Cu1 0.0000 0.0000 0.0000 1
Cu2 0.1296 0.4253 0.9833 1
S1 0.3333 0.6667 0.5452 1
O1 0.0000 0.0000 0.5000 1
O2 0.0918 0.8643 0.8567 1
O3 0.1208 0.6339 0.0967 1
O4 0.1728 0.4787 0.4791 1
O5 0.3333 0.6667 0.7610 1
```

2.
A relaxed Cu2SO5 crystal. Source: Alexandria via LeMat-Bulk, functional GGA-PBE.

Summary:
Raw formation energy: -7.2 eV per formula unit
E: -5.54 eV per atom
N(E_F): 8.2 states/eV per cell
Energy above the lowest structure with this stoichiometry: 0.011 eV per atom

```
data_Cu2SO5
_space_group_name_H-M_alt 'P n n m'
_space_group_IT_number 58
_space_group_name_Hall '-P 2 2n'
_cell_length_a 8.114
_cell_length_b 9.059
_cell_length_c 5.994
_cell_angle_alpha 90.00
_cell_angle_beta 90.00
_cell_angle_gamma 90.00
loop_
_atom_site_label
_atom_site_fract_x
_atom_site_fract_y
_atom_site_fract_z
_atom_site_occupancy
Cu1 0.000 0.000 0.241 1
Cu2 0.167 0.367 0.500 1
S1 0.208 0.757 0.500 1
O1 0.080 0.638 0.500 1
O2 0.117 0.924 0.000 1
O3 0.119 0.909 0.500 1
O4 0.190 0.250 0.203 1
```

3.
A relaxed Cu2SO5 crystal. Source: Alexandria via LeMat-Bulk, functional GGA-PBE.

Summary:
Raw formation energy: -7.3 eV per formula unit
E: -5.55 eV per atom
N(E_F): 8.4 states/eV per cell
Energy above the lowest structure with this stoichiometry: 0.000 eV per atom

```
data_Cu2SO5
_space_group_name_H-M_alt 'C 1 2/m 1'
_space_group_IT_number 12
_space_group_name_Hall '-C 2y'
_cell_length_a 9.494
_cell_length_b 6.421
_cell_length_c 7.855
_cell_angle_alpha 90.00
_cell_angle_beta 123.57
_cell_angle_gamma 90.00
loop_
_atom_site_label
_atom_site_fract_x
_atom_site_fract_y
_atom_site_fract_z
_atom_site_occupancy
Cu1 0.081 0.000 0.219 1
Cu2 0.250 0.250 0.000 1
S1 0.095 0.500 0.314 1
O1 0.018 0.308 0.754 1
O2 0.149 0.000 0.017 1
O3 0.194 0.500 0.540 1
O4 0.199 0.500 0.230 1
```

4.
A relaxed Cu3SO8 crystal. Source: Alexandria via LeMat-Bulk, functional GGA-PBE.

Summary:
Raw formation energy: -7.3 eV per formula unit
E: -5.28 eV per atom
N(E_F): 16.7 states/eV per cell

```
data_Cu3SO8
_space_group_name_H-M_alt 'P n m a'
_space_group_IT_number 62
_space_group_name_Hall '-P 2ac 2n'
_cell_length_a 8.029
_cell_length_b 5.899
_cell_length_c 13.214
_cell_angle_alpha 90.00
_cell_angle_beta 90.00
_cell_angle_gamma 90.00
loop_
_atom_site_label
_atom_site_fract_x
_atom_site_fract_y
_atom_site_fract_z
_atom_site_occupancy
Cu1 0.001 0.250 0.001 1
Cu2 0.216 0.503 0.614 1
S1 0.111 0.250 0.356 1
O1 0.006 0.037 0.342 1
O2 0.057 0.507 0.083 1
O3 0.189 0.250 0.457 1
O4 0.207 0.750 0.534 1
O5 0.234 0.250 0.275 1
O6 0.238 0.250 0.688 1
```

5.
A relaxed CuSbS2O crystal. Source: Alexandria via LeMat-Bulk, functional GGA-PBE.

Summary:
Raw formation energy: 0.3 eV per formula unit
E: -4.22 eV per atom
N(E_F): 3.1 states/eV per cell

```
data_CuSbS2O
_space_group_name_H-M_alt 'P 4/m m m'
_space_group_IT_number 123
_space_group_name_Hall '-P 4 2'
_cell_length_a 4.686
_cell_length_b 4.686
_cell_length_c 3.713
_cell_angle_alpha 90.00
_cell_angle_beta 90.00
_cell_angle_gamma 90.00
loop_
_atom_site_label
_atom_site_fract_x
_atom_site_fract_y
_atom_site_fract_z
_atom_site_occupancy
Cu1 0.000 0.000 0.000 1
Sb1 0.500 0.500 0.500 1
S1 0.000 0.500 0.000 1
O1 0.000 0.000 0.500 1
```

6.
A relaxed CuSeSO crystal. Source: Alexandria via LeMat-Bulk, functional GGA-PBE.

Summary:
Raw formation energy: 0.4 eV per formula unit
E: -4.07 eV per atom
N(E_F): 6.1 states/eV per cell
Energy above the lowest structure with this stoichiometry: 0.343 eV per atom

```
data_CuSeSO
_space_group_name_H-M_alt 'P 4/n m m'
_space_group_IT_number 129
_cell_length_a 4.100
_cell_length_b 4.100
_cell_length_c 7.848
_cell_angle_alpha 90.00
_cell_angle_beta 90.00
_cell_angle_gamma 90.00
loop_
_space_group_symop_operation_xyz
'x,y,z'
'-x,-y,-z'
'-y+1/2,x,z'
'y+1/2,-x,-z'
'-x+1/2,-y+1/2,z'
'x+1/2,y+1/2,-z'
'y,-x+1/2,z'
'-y,x+1/2,-z'
'x+1/2,-y,-z'
'-x+1/2,y,z'
'-y,-x,-z'
'y,x,z'
'-x,y+1/2,-z'
'x,-y+1/2,z'
'y+1/2,x+1/2,-z'
'-y+1/2,-x+1/2,z'
loop_
_atom_site_label
_atom_site_fract_x
_atom_site_fract_y
_atom_site_fract_z
_atom_site_occupancy
Cu1 0.250 0.750 0.000 1
Se1 0.250 0.250 0.424 1
S1 0.250 0.250 0.859 1
O1 0.250 0.750 0.500 1
```

7.
A relaxed CuSeSO crystal. Source: Alexandria via LeMat-Bulk, functional GGA-PBE.

Summary:
Raw formation energy: -1.0 eV per formula unit
E: -4.41 eV per atom
N(E_F): 0.0 states/eV per cell
Energy above the lowest structure with this stoichiometry: 0.000 eV per atom

```
data_CuSeSO
_space_group_name_H-M_alt 'P 1'
_space_group_IT_number 1
_space_group_name_Hall 'P 1'
_cell_length_a 4.804
_cell_length_b 5.681
_cell_length_c 5.819
_cell_angle_alpha 91.64
_cell_angle_beta 100.64
_cell_angle_gamma 101.95
loop_
_atom_site_label
_atom_site_fract_x
_atom_site_fract_y
_atom_site_fract_z
_atom_site_occupancy
Cu1 0.000 0.000 0.000 1
Cu2 0.334 0.737 0.562 1
Se1 0.027 0.342 0.454 1
Se2 0.303 0.117 0.723 1
S1 0.701 0.720 0.168 1
S2 0.724 0.666 0.820 1
O1 0.147 0.288 0.192 1
O2 0.451 0.824 0.225 1
```

8.
A relaxed Sm2CuTe2S2O14 crystal. Source: Alexandria via LeMat-Bulk, functional GGA-PBE.

Summary:
Raw formation energy: -37.9 eV per formula unit
E: -6.45 eV per atom

```
data_Sm2CuTe2S2O14
_space_group_name_H-M_alt 'P -1'
_space_group_IT_number 2
_space_group_name_Hall '-P 1'
_cell_length_a 5.264
_cell_length_b 8.055
_cell_length_c 8.342
_cell_angle_alpha 61.50
_cell_angle_beta 74.68
_cell_angle_gamma 85.61
loop_
_atom_site_label
_atom_site_fract_x
_atom_site_fract_y
_atom_site_fract_z
_atom_site_occupancy
Sm1 0.065 0.250 0.019 1
Cu1 0.000 0.000 0.500 1
Te1 0.491 0.733 0.649 1
S1 0.261 0.743 0.253 1
O1 0.152 0.738 0.437 1
O2 0.157 0.582 0.243 1
O3 0.174 0.916 0.099 1
O4 0.256 0.932 0.652 1
O5 0.257 0.563 0.884 1
O6 0.268 0.185 0.262 1
O7 0.447 0.256 0.788 1
```

9.
A relaxed CuSnS2O8 crystal. Source: Alexandria via LeMat-Bulk, functional GGA-PBE.

Summary:
Raw formation energy: -13.7 eV per formula unit
E: -5.81 eV per atom
N(E_F): 16.8 states/eV per cell

```
data_CuSnS2O8
_space_group_name_H-M_alt 'R -3'
_space_group_IT_number 148
_space_group_name_Hall '-R 3'
_cell_length_a 4.8280
_cell_length_b 4.8280
_cell_length_c 21.7532
_cell_angle_alpha 90.00
_cell_angle_beta 90.00
_cell_angle_gamma 120.00
loop_
_atom_site_label
_atom_site_fract_x
_atom_site_fract_y
_atom_site_fract_z
_atom_site_occupancy
Cu1 0.0000 0.0000 0.0000 1
Sn1 0.0000 0.0000 0.5000 1
S1 0.0000 0.0000 0.2540 1
O1 0.0000 0.0000 0.1847 1
O2 0.0073 0.2979 0.7254 1
```

10.
A relaxed SrCuSO crystal. Source: Alexandria via LeMat-Bulk, functional GGA-PBE.

Summary:
Raw formation energy: -4.8 eV per formula unit
E: -4.91 eV per atom
N(E_F): 7.6 states/eV per cell

```
data_SrCuSO
_space_group_name_H-M_alt 'I 4/m m m'
_space_group_IT_number 139
_space_group_name_Hall '-I 4 2'
_cell_length_a 3.852
_cell_length_b 3.852
_cell_length_c 19.235
_cell_angle_alpha 90.00
_cell_angle_beta 90.00
_cell_angle_gamma 90.00
loop_
_atom_site_label
_atom_site_fract_x
_atom_site_fract_y
_atom_site_fract_z
_atom_site_occupancy
Sr1 0.000 0.000 0.082 1
Cu1 0.000 0.500 0.250 1
S1 0.000 0.000 0.322 1
O1 0.000 0.500 0.000 1
```

11.
A relaxed Sr2CuSO2 crystal. Source: Alexandria via LeMat-Bulk, functional GGA-PBE.

Summary:
Raw formation energy: -10.9 eV per formula unit
E: -5.41 eV per atom
N(E_F): 1.6 states/eV per cell

```
data_Sr2CuSO2
_space_group_name_H-M_alt 'P 4/m m m'
_space_group_IT_number 123
_space_group_name_Hall '-P 4 2'
_cell_length_a 3.903
_cell_length_b 3.903
_cell_length_c 6.876
_cell_angle_alpha 90.00
_cell_angle_beta 90.00
_cell_angle_gamma 90.00
loop_
_atom_site_label
_atom_site_fract_x
_atom_site_fract_y
_atom_site_fract_z
_atom_site_occupancy
Sr1 0.000 0.000 0.249 1
Cu1 0.500 0.500 0.000 1
S1 0.500 0.500 0.500 1
O1 0.000 0.500 0.000 1
```

12.
A relaxed SrCuS2O8 crystal. Source: Alexandria via LeMat-Bulk, functional GGA-PBE.

Summary:
Raw formation energy: -18.9 eV per formula unit
E: -6.05 eV per atom
N(E_F): 16.7 states/eV per cell

```
data_SrCuS2O8
_space_group_name_H-M_alt 'R -3'
_space_group_IT_number 148
_space_group_name_Hall '-R 3'
_cell_length_a 4.8286
_cell_length_b 4.8286
_cell_length_c 21.7744
_cell_angle_alpha 90.00
_cell_angle_beta 90.00
_cell_angle_gamma 120.00
loop_
_atom_site_label
_atom_site_fract_x
_atom_site_fract_y
_atom_site_fract_z
_atom_site_occupancy
Sr1 0.0000 0.0000 0.0000 1
Cu1 0.0000 0.0000 0.5000 1
S1 0.0000 0.0000 0.2459 1
O1 0.0000 0.0000 0.3148 1
O2 0.0055 0.7083 0.2254 1
```

13.
A relaxed Tb2CuS2O2 crystal. Source: Alexandria via LeMat-Bulk, functional GGA-PBE.

Summary:
Raw formation energy: -14.9 eV per formula unit
E: -6.64 eV per atom
N(E_F): 4.1 states/eV per cell

```
data_Tb2CuS2O2
_space_group_name_H-M_alt 'P -3 m 1'
_space_group_IT_number 164
_space_group_name_Hall '-P 3 2"'
_cell_length_a 3.8280
_cell_length_b 3.8280
_cell_length_c 10.7896
_cell_angle_alpha 90.00
_cell_angle_beta 90.00
_cell_angle_gamma 120.00
loop_
_atom_site_label
_atom_site_fract_x
_atom_site_fract_y
_atom_site_fract_z
_atom_site_occupancy
Tb1 0.3333 0.6667 0.1350 1
Cu1 0.0000 0.0000 0.5000 1
S1 0.0000 0.0000 0.3062 1
O1 0.3333 0.6667 0.9199 1
```

14.
A relaxed CuTeSO crystal. Source: Alexandria via LeMat-Bulk, functional GGA-PBE.

Summary:
Raw formation energy: -0.4 eV per formula unit
E: -4.19 eV per atom
N(E_F): 3.5 states/eV per cell

```
data_CuTeSO
_space_group_name_H-M_alt 'P 4/n m m'
_space_group_IT_number 129
_cell_length_a 3.835
_cell_length_b 3.835
_cell_length_c 8.755
_cell_angle_alpha 90.00
_cell_angle_beta 90.00
_cell_angle_gamma 90.00
loop_
_space_group_symop_operation_xyz
'x,y,z'
'-x,-y,-z'
'-y+1/2,x,z'
'y+1/2,-x,-z'
'-x+1/2,-y+1/2,z'
'x+1/2,y+1/2,-z'
'y,-x+1/2,z'
'-y,x+1/2,-z'
'x+1/2,-y,-z'
'-x+1/2,y,z'
'-y,-x,-z'
'y,x,z'
'-x,y+1/2,-z'
'x,-y+1/2,z'
'y+1/2,x+1/2,-z'
'-y+1/2,-x+1/2,z'
loop_
_atom_site_label
_atom_site_fract_x
_atom_site_fract_y
_atom_site_fract_z
_atom_site_occupancy
Cu1 0.250 0.750 0.000 1
Te1 0.250 0.250 0.354 1
S1 0.250 0.250 0.835 1
O1 0.250 0.750 0.500 1
```

15.
A relaxed Cu7Te2S2O20 crystal. Source: Alexandria via LeMat-Bulk, functional GGA-PBE.

Summary:
Raw formation energy: -22.6 eV per formula unit
E: -5.32 eV per atom
N(E_F): 8.5 states/eV per cell

```
data_Cu7Te2S2O20
_space_group_name_H-M_alt 'P -1'
_space_group_IT_number 2
_space_group_name_Hall '-P 1'
_cell_length_a 7.050
_cell_length_b 7.625
_cell_length_c 7.932
_cell_angle_alpha 80.46
_cell_angle_beta 77.53
_cell_angle_gamma 86.09
loop_
_atom_site_label
_atom_site_fract_x
_atom_site_fract_y
_atom_site_fract_z
_atom_site_occupancy
Cu1 0.000 0.000 0.000 1
Cu2 0.000 0.500 0.500 1
Cu3 0.248 0.463 0.736 1
Cu4 0.379 0.815 0.804 1
Cu5 0.500 0.500 0.000 1
Te1 0.127 0.192 0.244 1
S1 0.408 0.807 0.344 1
O1 0.002 0.431 0.277 1
O2 0.132 0.924 0.792 1
O3 0.168 0.176 0.000 1
O4 0.199 0.797 0.349 1
O5 0.203 0.365 0.556 1
O6 0.281 0.588 0.909 1
O7 0.382 0.320 0.175 1
O8 0.455 0.805 0.513 1
O9 0.477 0.972 0.216 1
O10 0.497 0.354 0.738 1
```

16.
A relaxed TiCuSO2 crystal. Source: Alexandria via LeMat-Bulk, functional GGA-PBE.

Summary:
Raw formation energy: -6.7 eV per formula unit
E: -6.55 eV per atom
N(E_F): 2.2 states/eV per cell

```
data_TiCuSO2
_space_group_name_H-M_alt 'P 4/m m m'
_space_group_IT_number 123
_space_group_name_Hall '-P 4 2'
_cell_length_a 3.696
_cell_length_b 3.696
_cell_length_c 5.351
_cell_angle_alpha 90.00
_cell_angle_beta 90.00
_cell_angle_gamma 90.00
loop_
_atom_site_label
_atom_site_fract_x
_atom_site_fract_y
_atom_site_fract_z
_atom_site_occupancy
Ti1 0.000 0.000 0.000 1
Cu1 0.500 0.500 0.500 1
S1 0.000 0.000 0.500 1
O1 0.000 0.500 0.000 1
```

17.
A relaxed U2CuS2O22 crystal. Source: Alexandria via LeMat-Bulk, functional GGA-PBE.

Summary:
Raw formation energy: -31.6 eV per formula unit
E: -6.50 eV per atom
N(E_F): 13.0 states/eV per cell

```
data_U2CuS2O22
_space_group_name_H-M_alt 'P -1'
_space_group_IT_number 2
_space_group_name_Hall '-P 1'
_cell_length_a 6.889
_cell_length_b 8.394
_cell_length_c 9.128
_cell_angle_alpha 112.07
_cell_angle_beta 93.20
_cell_angle_gamma 107.66
loop_
_atom_site_label
_atom_site_fract_x
_atom_site_fract_y
_atom_site_fract_z
_atom_site_occupancy
U1 0.147 0.272 0.242 1
Cu1 0.000 0.000 0.500 1
S1 0.332 0.703 0.622 1
O1 0.002 0.774 0.333 1
O2 0.087 0.128 0.358 1
O3 0.155 0.674 0.710 1
O4 0.163 0.965 0.019 1
O5 0.192 0.385 0.110 1
O6 0.196 0.325 0.761 1
O7 0.275 0.532 0.469 1
O8 0.282 0.895 0.063 1
O9 0.330 0.247 0.718 1
O10 0.376 0.867 0.594 1
O11 0.488 0.297 0.276 1
```